[1]
VASP calculation (PBE) on a geometry-optimized CdAgPO2 structure.

It has space group P4/mmm (No. 123), with a = 4.067 Å, b = 4.067 Å, c = 5.476 Å, α = 90.00°, β = 90.00° and γ = 90.00°. Symmetry generates all atoms from Cd at (0.000, 0.000, 0.000), Ag at (0.500, 0.500, 0.500), P at (0.000, 0.000, 0.500) and O at (0.000, 0.500, 0.000).

As for the energy above the most stable polymorph in this dataset: 53 kJ/mol of formula units.

[2]
VASP calculation (PBE) on a geometry-optimized Cd2AgPO4 structure.

It has space group Fmm2 (No. 42), with a = 6.520 Å, b = 7.761 Å, c = 9.834 Å, α = 90.00°, β = 90.00° and γ = 90.00°. Symmetry generates all atoms from Cd at (0.250, 0.250, 0.000), Ag at (0.000, 0.000, 0.162), P at (0.000, 0.000, 0.759), O at (0.000, 0.164, 0.667) and O at (0.201, 0.000, 0.848).

Per-record energy relative to the elements, uncorrected, eV/atom: 0.604; -1.199